(1)
An optimized crystal structure of SrHf3Os, computed with PBE. Values from VASP.

```
&SYSTEM
  ibrav = 0, nat = 5, ntyp = 3
/
ATOMIC_SPECIES
Sr 87.62 Sr.upf
Hf 178.49 Hf.upf
Os 190.23 Os.upf
CELL_PARAMETERS angstrom
5.145 0.000 0.000
0.000 5.145 0.000
0.000 0.000 5.145
ATOMIC_POSITIONS angstrom
Sr 0.000 0.000 0.000
Hf 0.000 2.573 2.573
Hf 2.573 0.000 2.573
Hf 2.573 2.573 0.000
Os 2.573 2.573 2.573
```

E_tot: -8.2870 eV per atom
Calculated formation energy: 267 meV per atom

---

(2)
An optimized crystal structure of SrHf2Os2, computed with PBE. Values from VASP.

```
&SYSTEM
  ibrav = 0, nat = 10, ntyp = 3
/
ATOMIC_SPECIES
Sr 87.62 Sr.upf
Hf 178.49 Hf.upf
Os 190.23 Os.upf
CELL_PARAMETERS angstrom
4.456 0.000 0.000
0.000 4.456 0.000
0.000 0.000 11.439
ATOMIC_POSITIONS angstrom
Sr 0.000 0.000 0.000
Sr 2.228 2.228 5.720
Hf 0.000 2.228 2.860
Hf 0.000 2.228 8.579
Hf 2.228 0.000 2.860
Hf 2.228 0.000 8.579
Os 0.000 0.000 4.424
Os 0.000 0.000 7.015
Os 2.228 2.228 1.295
Os 2.228 2.228 10.144
```

E_tot: -9.0297 eV per atom
Calculated formation energy: -220 meV per atom